# 1
This record from Alexandria describes a relaxed structure of Nd2Be4IrPt3. The functional is PBE.

Lattice parameters (Å, degrees): 4.080 4.080 9.597 90.00 90.00 90.00
Fractional positions:
Nd: 0.500 0.000 0.253
Nd: 0.000 0.500 0.747
Be: 0.500 0.500 0.000
Be: 0.000 0.000 0.000
Be: 0.500 0.000 0.618
Be: 0.000 0.500 0.382
Ir: 0.500 0.500 0.500
Pt: 0.000 0.000 0.500
Pt: 0.500 0.000 0.878
Pt: 0.000 0.500 0.122

Values from the calculation:
M_tot, μB per atom: 0.000
E, eV per atom: -5.951

---

# 2
This record from Alexandria describes a relaxed structure of NdBe4IrPt2. The functional is PBE.

Lattice parameters (Å, degrees): 3.952 3.952 8.660 76.81 76.81 60.00
Fractional positions:
Nd: 0.000 0.000 0.000
Be: 0.411 0.411 0.766
Be: 0.865 0.865 0.406
Be: 0.135 0.135 0.594
Be: 0.589 0.589 0.234
Ir: 0.500 0.500 0.500
Pt: 0.761 0.761 0.717
Pt: 0.239 0.239 0.283

Values from the calculation:
M_tot, μB per atom: 0.000
E, eV per atom: -5.730

---

# 3
This record from Alexandria describes a relaxed structure of NdBe4IrRh2. The functional is PBE.

Lattice parameters (Å, degrees): 3.914 3.914 8.597 76.84 76.84 60.00
Fractional positions:
Nd: 0.000 0.000 0.000
Be: 0.412 0.412 0.763
Be: 0.866 0.866 0.402
Be: 0.134 0.134 0.598
Be: 0.588 0.588 0.237
Ir: 0.500 0.500 0.500
Rh: 0.760 0.760 0.719
Rh: 0.240 0.240 0.281

Values from the calculation:
M_tot, μB per atom: 0.000
E, eV per atom: -5.889

---

| no. | energy relative to the elements (eV/atom) |
| --- | --- |
| 1 | -0.808 |
| 2 | -0.653 |
| 3 | -0.484 |